No. 1
DFT (meta-GGA SCAN) results for a PBEsol-optimized structure of Mg2TlIn.

abc: 6.2363 6.2363 6.2363
angles: 147.96 131.85 59.01
Fractional coordinates of all 4 atoms:
Mg 0.0000 0.0000 0.0000
Mg 0.7487 0.2487 0.5000
Tl 0.5012 0.5012 0.0000
In 0.2445 0.7445 0.5000

M_tot = 0.0 μB per formula unit
V = 95 Å³/cell
energy of formation = -1.99 kcal/mol of atoms
space-group type = Imm2 (44)
DOS(E_F) = 1.34 states/eV/f.u.

***

No. 2
DFT (meta-GGA SCAN) results for a PBEsol-optimized structure of ZrCl3.

abc: 3.3264 3.3264 6.4771
angles: 90.00 90.00 90.00
Fractional coordinates of all 4 atoms:
Zr 0.0000 0.0000 0.0000
Cl 0.0000 0.0000 0.5000
Cl 0.5000 0.5000 0.2154
Cl 0.5000 0.5000 0.7846

M_tot = 0.0 μB per formula unit
V = 72 Å³/cell
uncorrected formation energy = -4.774 eV/f.u.
space-group type = P4/mmm (123)
DOS(E_F) = 0.83 states/eV/f.u.

***

No. 3
DFT (meta-GGA SCAN) results for a PBEsol-optimized structure of Ba2Au.

abc: 6.7215 6.7215 6.7215
angles: 108.26 108.26 111.92
Fractional coordinates of all 6 atoms:
Ba 0.1925 0.6925 0.8850
Ba 0.3075 0.1925 0.5000
Ba 0.6925 0.8075 0.5000
Ba 0.8075 0.3075 0.1150
Au 0.2500 0.2500 0.0000
Au 0.7500 0.7500 0.0000

M_tot = 0.1 μB per formula unit
V = 233 Å³/cell
energy of formation = -13.39 kcal/mol of atoms
space-group type = I4/mcm (140)
DOS(E_F) = 2.94 states/eV/f.u.

***

Look up the M_tot of the second one. 0.0 μB per formula unit